# 1
The following is a DFT calculation (GGA-PBE) of BaEuCu2 after structural relaxation.

abc: 3.8725 3.8725 7.3702
angles: 90.00 90.00 90.00
Last column: magnetic moment on the atom in μB.
Sites, in units of the cell vectors:
1 Cu 0.0000 0.0000 0.1883  -0.01
2 Cu 0.0000 0.0000 0.8117  -0.01
3 Eu 0.5000 0.5000 0.0000  6.83
4 Ba 0.5000 0.5000 0.5000  0.02

The symmetry is No. 123. The calculation puts the energy of formation at -0.0102 eV/atom.

***

# 2
The following is a DFT calculation (GGA-PBE) of BaEuCu after structural relaxation.

abc: 6.6454 4.5752 4.5752
angles: 120.00 90.00 90.00
Last column: magnetic moment on the atom in μB.
Sites, in units of the cell vectors:
1 Ba 0.7456 0.6667 0.3333  -0.06
2 Cu 0.0207 0.0000 0.0000  0.01
3 Eu 0.2337 0.3333 0.6667  -6.97

The symmetry is No. 156. The calculation puts the energy of formation at 0.0648 eV/atom.

***

# 3
The following is a DFT calculation (GGA-PBE) of BaEuCu2 after structural relaxation.

abc: 3.7766 5.3951 5.3951
angles: 90.00 90.00 90.00
Last column: magnetic moment on the atom in μB.
Sites, in units of the cell vectors:
1 Cu 0.0000 0.0000 0.5000  0.01
2 Cu 0.0000 0.5000 0.0000  0.01
3 Ba 0.5000 0.0000 0.0000  0.05
4 Eu 0.5000 0.5000 0.5000  6.94

The symmetry is No. 123. The calculation puts the energy of formation at 0.0325 eV/atom.

***

# 4
The following is a DFT calculation (GGA-PBE) of BaEuCu2 after structural relaxation.

abc: 5.3890 5.3890 5.3890
angles: 60.00 60.00 60.00
Last column: magnetic moment on the atom in μB.
Sites, in units of the cell vectors:
1 Ba 0.0000 0.0000 0.0000  0.07
2 Cu 0.2500 0.2500 0.2500  0.00
3 Cu 0.7500 0.7500 0.7500  0.00
4 Eu 0.5000 0.5000 0.5000  6.92

The symmetry is No. 225. The calculation puts the energy of formation at 0.0408 eV/atom.

***

# 5
The following is a DFT calculation (GGA-PBE) of BaEu2Cu after structural relaxation.

abc: 4.3302 4.3302 10.6172
angles: 78.23 78.23 60.00
Last column: magnetic moment on the atom in μB.
Sites, in units of the cell vectors:
1 Ba 0.5000 0.5000 0.5000  0.06
2 Cu 0.0000 0.0000 0.0000  -0.02
3 Eu 0.7192 0.7192 0.8424  6.92
4 Eu 0.2808 0.2808 0.1576  6.92

The symmetry is No. 166. The calculation puts the energy of formation at 0.0317 eV/atom.

***

# 6
The following is a DFT calculation (GGA-PBE) of BaEu2Cu after structural relaxation.

abc: 3.8361 3.8361 10.0607
angles: 90.00 90.00 90.00
Last column: magnetic moment on the atom in μB.
Sites, in units of the cell vectors:
1 Ba 0.5000 0.5000 0.5000  0.05
2 Eu 0.0000 0.0000 0.1697  6.94
3 Eu 0.0000 0.0000 0.8303  6.94
4 Cu 0.5000 0.5000 0.0000  -0.01

The symmetry is No. 123. The calculation puts the energy of formation at 0.0028 eV/atom.

***

How do the records compare in distance to the lowest polymorph of the same formula? In the order shown, they have 0.00; 5.54; 4.12; 4.92; 2.79; 0.00 kJ per mole of atoms.